VASP calculation (PBE) on an optimized crystal structure of KMg2Zn2.

* ΔE_f: 0.27 eV/f.u.
* mass density: 2776 kg/m³
* polymorph energy (0 for the lowest one): 0.0069 eV/atom
* final energy: -1.3124 eV per atom

Lattice parameters (Å, degrees): 4.696 4.696 11.856 90.00 90.00 90.00
Space group I4/mmm (No. 139)
Inequivalent atoms, fractional coordinates:
K 0.000 0.000 0.000 (multiplicity 2)
Mg 0.000 0.500 0.250 (multiplicity 4)
Zn 0.000 0.000 0.391 (multiplicity 4)


VASP calculation (PBE) on an optimized crystal structure of Sr2NiAg.

* ΔE_f: -0.08 eV/f.u.
* mass density: 5194 kg/m³
* final energy: -3.0185 eV per atom

Lattice parameters (Å, degrees): 5.344 5.344 3.826 90.00 90.00 90.00
Space group P4/mmm (No. 123)
Inequivalent atoms, fractional coordinates:
Sr 0.000 0.500 0.000 (multiplicity 2)
Ni 0.000 0.000 0.500 (multiplicity 1)
Ag 0.500 0.500 0.500 (multiplicity 1)


> Which value of ΔE_f does entry 1 give?

0.27 eV/f.u.


> Look up the ΔE_f of the second one.

-0.08 eV/f.u.


> Which of these has the lowest mass density?

KMg2Zn2


> What is the mass density in the first record?

2776 kg/m³